Entry 1:
Ce6TlRu2: relaxed, PBE.

Spin magnetization = 0.9 Bohr magnetons per cell
Uncorrected energy = -0.483 Ry per atom
SG = C2/m (12)
Formation enthalpy at 0 K = -6.7 kcal/mol of atoms
Calculated volume = 24.778 A^3/atom

Cell lengths 5.800, 5.800, 8.859 Å; angles 93.36, 93.36, 48.57 degrees
Sites, in units of the cell vectors:
Ce1 0.064 0.064 0.367
Ce2 0.292 0.292 0.892
Ce3 0.401 0.401 0.325
Ce4 0.599 0.599 0.675
Ce5 0.708 0.708 0.108
Ce6 0.936 0.936 0.633
Tl1 0.000 0.000 0.000
Ru1 0.263 0.263 0.620
Ru2 0.737 0.737 0.380

***

Entry 2:
TiCdSi2: relaxed, PBE.

Spin magnetization = 0.0 Bohr magnetons per cell
Uncorrected energy = -0.335 Ry per atom
SG = I-42d (122)
Raw formation energy = 8.19 kcal/mol of atoms
Calculated volume = 18.325 A^3/atom

Cell lengths 5.820, 5.820, 5.820 Å; angles 103.79, 103.79, 121.56 degrees
Sites, in units of the cell vectors:
Ti1 0.000 0.000 0.000
Ti2 0.750 0.250 0.500
Cd1 0.250 0.750 0.500
Cd2 0.500 0.500 0.000
Si1 0.120 0.625 0.995
Si2 0.375 0.370 0.495
Si3 0.630 0.125 0.005
Si4 0.875 0.880 0.505

***

Entry 3:
SiNi3Se: relaxed, PBE.

Spin magnetization = 0.0 Bohr magnetons per cell
Uncorrected energy = -0.357 Ry per atom
SG = Pm-3m (221)
Raw formation energy = 9.02 kcal/mol of atoms
Calculated volume = 15.405 A^3/atom

Cell lengths 4.255, 4.255, 4.255 Å; angles 90.00, 90.00, 90.00 degrees
Sites, in units of the cell vectors:
Si1 0.000 0.000 0.000
Ni1 0.000 0.000 0.500
Ni2 0.000 0.500 0.000
Ni3 0.500 0.000 0.000
Se1 0.500 0.500 0.500

***

Entry 4:
TiNbW2: relaxed, PBE.

Spin magnetization = 0.0 Bohr magnetons per cell
Uncorrected energy = -0.750 Ry per atom
SG = I-42d (122)
Formation enthalpy at 0 K = 17.6 kcal/mol of atoms
Calculated volume = 17.839 A^3/atom

Cell lengths 5.798, 5.798, 5.798 Å; angles 102.76, 102.76, 123.93 degrees
Sites, in units of the cell vectors:
Ti1 0.000 0.000 0.000
Ti2 0.750 0.250 0.500
Nb1 0.250 0.750 0.500
Nb2 0.500 0.500 0.000
W1 0.123 0.625 0.998
W2 0.375 0.373 0.498
W3 0.627 0.125 0.002
W4 0.875 0.877 0.502